# 1
ZrAlRe2 | PBEsol | relaxed

abc: 3.219 4.524 5.199
angles: 115.79 108.03 90.00
Fractional positions:
Re (0.247, 0.247, 0.494)
Re (0.753, 0.753, 0.506)
Al (0.000, 0.500, 0.000)
Zr (0.500, 0.000, 0.000)

Values from the calculation:
As for the final energy: -40.087 eV/cell. For the total magnetization, the calculation gives 0.000 Bohr magnetons per cell. The energy relative to the elements comes out at -0.06 eV per atom. Its crystal system is orthorhombic. The space group is Immm.

***

# 2
Al2AsRu | PBEsol | relaxed

abc: 2.984 4.386 4.644
angles: 90.00 89.87 90.00
Fractional positions:
Al (0.731, 0.000, 0.736)
Ru (0.000, 0.500, 0.500)
Al (0.269, 0.000, 0.264)
As (0.500, 0.500, 0.000)

Values from the calculation:
As for the final energy: -23.430 eV/cell. For the total magnetization, the calculation gives 0.000 Bohr magnetons per cell. The energy relative to the elements comes out at 0.01 eV per atom. Its crystal system is monoclinic. The space group is P2/m.